BeCuAgBi | PBE | optimized geometry

a b c (Å): 4.641 4.641 4.641
angles (deg): 60.00 60.00 60.00
Atoms (fractional coordinates):
Be 0.000 0.000 0.000
Cu 0.500 0.500 0.500
Ag 0.750 0.750 0.750
Bi 0.250 0.250 0.250

Summary:
space-group type	F-43m
calculated density	9.150	Mg/m³
E	-12.5	eV/cell